1.
Density functional theory data (GGA-PBE) for crystalline Na3C2N4 at its relaxed geometry.

Unit cell a=13.300 b=6.672 c=4.645 alpha=90.00 beta=110.23 gamma=90.00
Space group C2/c (No. 15)
Asymmetric unit:
Na 0.000 0.142 0.250 [4 per cell]
Na 0.138 0.334 0.889 [8 per cell]
C 0.211 0.112 0.461 [8 per cell]
N 0.162 0.000 0.164 [8 per cell]
N 0.174 0.324 0.425 [8 per cell]

Properties
The electronic total energy comes out at -213.41 eV per cell. The formation energy (no corrections) comes out at 261 meV/atom.

=====

2.
Density functional theory data (GGA-PBE) for crystalline TlBAu2 at its relaxed geometry.

Unit cell a=6.839 b=6.839 c=7.338 alpha=90.00 beta=90.00 gamma=90.00
Space group I-42d (No. 122)
Asymmetric unit:
Tl 0.000 0.000 0.000 [4 per cell]
B 0.000 0.000 0.500 [4 per cell]
Au 0.126 0.250 0.625 [8 per cell]

Properties
The formation enthalpy at 0 K is 0.3695 eV per atom. The electronic total energy comes out at -56.48 eV per cell.

=====

3.
Density functional theory data (GGA-PBE) for crystalline Zr2GaSiNi at its relaxed geometry.

Unit cell a=4.957 b=4.957 c=4.168 alpha=90.00 beta=90.00 gamma=90.00
Space group P4/mmm (No. 123)
Asymmetric unit:
Zr 0.000 0.500 0.000 [2 per cell]
Ga 0.000 0.000 0.500 [1 per cell]
Si 0.500 0.500 0.000 [1 per cell]
Ni 0.500 0.500 0.500 [1 per cell]

Properties
The electronic total energy comes out at -31.17 eV per cell. The formation energy (no corrections) comes out at 31 meV/atom.

=====

4.
Density functional theory data (GGA-PBE) for crystalline MgIr2Ru at its relaxed geometry.

Unit cell a=2.775 b=2.775 c=7.730 alpha=90.00 beta=90.00 gamma=90.00
Space group P4/mmm (No. 123)
Asymmetric unit:
Mg 0.000 0.000 0.000 [1 per cell]
Ir 0.500 0.500 0.264 [2 per cell]
Ru 0.000 0.000 0.500 [1 per cell]

Properties
The formation enthalpy at 0 K is -0.1618 eV per atom. The electronic total energy comes out at -29.24 eV per cell.

=====

Total moment values, unit μB per cell, following the record order: 0.9; 0.0; 0.0; 0.0.
Fermi-level density of states values, unit states/eV/f.u., following the record order: 1.3; 1.0; 3.0; 2.8.